# LiAl2Pd, optimized geometry, DFT PBE
# **ΔH_f (0 K)**: -631.1 meV/atom
# **Energy relative to the lowest polymorph listed for this composition**: 0 meV per atom
# **Fermi-level density of states**: 0.245 states/eV per atom
data_LiAl2Pd
_cell_length_a 6.102
_cell_length_b 6.102
_cell_length_c 6.102
_cell_angle_alpha 90.00
_cell_angle_beta 90.00
_cell_angle_gamma 90.00
_space_group_name_H-M_alt 'F m -3 m'
_space_group_IT_number 225
_space_group_name_Hall '-F 4 2 3'
loop_
_atom_site_label
_atom_site_fract_x
_atom_site_fract_y
_atom_site_fract_z
Li1 0.000 0.000 0.000
Al1 0.250 0.250 0.250
Pd1 0.000 0.000 0.500

# Ta2BeNi, optimized geometry, DFT PBE
# **ΔH_f (0 K)**: 246.0 meV/atom
# **Fermi-level density of states**: 0.939 states/eV per atom
data_Ta2BeNi
_cell_length_a 2.7834
_cell_length_b 2.7834
_cell_length_c 26.3910
_cell_angle_alpha 90.00
_cell_angle_beta 90.00
_cell_angle_gamma 120.00
_space_group_name_H-M_alt 'R -3 m'
_space_group_IT_number 166
_space_group_name_Hall '-R 3 2"'
loop_
_atom_site_label
_atom_site_fract_x
_atom_site_fract_y
_atom_site_fract_z
Ta1 0.0000 0.0000 0.2501
Be1 0.0000 0.0000 0.0000
Ni1 0.0000 0.0000 0.5000

# CrCoCu, optimized geometry, DFT PBE
# **ΔH_f (0 K)**: 242.2 meV/atom
# **Energy relative to the lowest polymorph listed for this composition**: 60 meV per atom
# **Fermi-level density of states**: 0.783 states/eV per atom
data_CrCoCu
_cell_length_a 2.955
_cell_length_b 2.955
_cell_length_c 7.980
_cell_angle_alpha 90.00
_cell_angle_beta 90.00
_cell_angle_gamma 90.00
_space_group_name_H-M_alt 'I 4 m m'
_space_group_IT_number 107
_space_group_name_Hall 'I 4 -2'
loop_
_atom_site_label
_atom_site_fract_x
_atom_site_fract_y
_atom_site_fract_z
Cr1 0.000 0.000 0.000
Co1 0.000 0.000 0.650
Cu1 0.000 0.000 0.323

# K3ZrSi, optimized geometry, DFT PBE
# **Energy relative to the elements, uncorrected**: 1.24 eV/atom
# **Energy relative to the lowest polymorph listed for this composition**: 0 meV per atom
# **Fermi-level density of states**: 1.941 states/eV per atom
data_K3ZrSi
_cell_length_a 6.455
_cell_length_b 6.455
_cell_length_c 6.455
_cell_angle_alpha 90.00
_cell_angle_beta 90.00
_cell_angle_gamma 90.00
_space_group_name_H-M_alt 'P m -3 m'
_space_group_IT_number 221
_space_group_name_Hall '-P 4 2 3'
loop_
_atom_site_label
_atom_site_fract_x
_atom_site_fract_y
_atom_site_fract_z
K1 0.000 0.000 0.500
Zr1 0.500 0.500 0.500
Si1 0.000 0.000 0.000

# K2TlCdBi2, optimized geometry, DFT PBE
# **ΔH_f (0 K)**: -295.3 meV/atom
# **Fermi-level density of states**: 0.234 states/eV per atom
data_K2TlCdBi2
_cell_length_a 7.399
_cell_length_b 16.557
_cell_length_c 7.347
_cell_angle_alpha 90.00
_cell_angle_beta 90.00
_cell_angle_gamma 90.00
_space_group_name_H-M_alt 'I b a m'
_space_group_IT_number 72
_space_group_name_Hall '-I 2 2c'
loop_
_atom_site_label
_atom_site_fract_x
_atom_site_fract_y
_atom_site_fract_z
K1 0.240 0.165 0.000
Tl1 0.000 0.000 0.250
Cd1 0.000 0.500 0.250
Bi1 0.231 0.392 0.000

# PuAl2ZnCu4, optimized geometry, DFT PBE
# **ΔH_f (0 K)**: -102.2 meV/atom
# **Fermi-level density of states**: 1.680 states/eV per atom
data_PuAl2ZnCu4
_cell_length_a 4.1603
_cell_length_b 4.1603
_cell_length_c 25.4395
_cell_angle_alpha 90.00
_cell_angle_beta 90.00
_cell_angle_gamma 120.00
_space_group_name_H-M_alt 'R -3 m'
_space_group_IT_number 166
_space_group_name_Hall '-R 3 2"'
loop_
_atom_site_label
_atom_site_fract_x
_atom_site_fract_y
_atom_site_fract_z
Pu1 0.0000 0.0000 0.0000
Al1 0.0000 0.0000 0.2410
Zn1 0.0000 0.0000 0.5000
Cu1 0.0000 0.0000 0.1312
Cu2 0.0000 0.0000 0.4037

# CaPOs2, optimized geometry, DFT PBE
# **ΔH_f (0 K)**: 406.1 meV/atom
# **Fermi-level density of states**: 0.723 states/eV per atom
data_CaPOs2
_cell_length_a 3.098
_cell_length_b 4.534
_cell_length_c 4.815
_cell_angle_alpha 90.00
_cell_angle_beta 92.43
_cell_angle_gamma 90.00
_space_group_name_H-M_alt 'P 1 2/m 1'
_space_group_IT_number 10
loop_
_space_group_symop_operation_xyz
'x,y,z'
'-x,-y,-z'
'-x,y,-z'
'x,-y,z'
loop_
_atom_site_label
_atom_site_fract_x
_atom_site_fract_y
_atom_site_fract_z
Ca1 0.000 0.000 0.000
P1 0.500 0.000 0.500
Os1 0.383 0.500 0.744

# Sr2LaPb3, optimized geometry, DFT PBE
# **ΔH_f (0 K)**: -535.4 meV/atom
# **Fermi-level density of states**: 0.597 states/eV per atom
data_Sr2LaPb3
_cell_length_a 5.294
_cell_length_b 15.976
_cell_length_c 9.481
_cell_angle_alpha 90.00
_cell_angle_beta 90.00
_cell_angle_gamma 90.00
_space_group_name_H-M_alt 'C m m m'
_space_group_IT_number 65
_space_group_name_Hall '-C 2 2'
loop_
_atom_site_label
_atom_site_fract_x
_atom_site_fract_y
_atom_site_fract_z
Sr1 0.000 0.000 0.000
Sr2 0.000 0.000 0.500
Sr3 0.000 0.335 0.000
La1 0.000 0.335 0.500
Pb1 0.000 0.169 0.254
Pb2 0.000 0.500 0.254

# TbGa3Pt, optimized geometry, DFT PBE
# **ΔH_f (0 K)**: -754.7 meV/atom
# **Energy relative to the lowest polymorph listed for this composition**: 0 meV per atom
# **Fermi-level density of states**: 0.454 states/eV per atom
data_TbGa3Pt
_cell_length_a 5.987
_cell_length_b 5.997
_cell_length_c 6.134
_cell_angle_alpha 90.00
_cell_angle_beta 119.00
_cell_angle_gamma 90.00
_space_group_name_H-M_alt 'C 1 m 1'
_space_group_IT_number 8
loop_
_space_group_symop_operation_xyz
'x,y,z'
'x,-y,z'
'x+1/2,y+1/2,z'
'x+1/2,-y+1/2,z'
loop_
_atom_site_label
_atom_site_fract_x
_atom_site_fract_y
_atom_site_fract_z
Tb1 0.000 0.000 0.000
Ga1 0.018 0.250 0.530
Ga2 0.416 0.000 0.829
Pt1 0.144 0.500 0.282

# AcLaNd2Y, optimized geometry, DFT PBE
# **ΔH_f (0 K)**: 39.0 meV/atom
# **Fermi-level density of states**: 1.751 states/eV per atom
data_AcLaNd2Y
_cell_length_a 6.550
_cell_length_b 6.013
_cell_length_c 9.994
_cell_angle_alpha 90.00
_cell_angle_beta 108.99
_cell_angle_gamma 90.00
_space_group_name_H-M_alt 'P 1 21/m 1'
_space_group_IT_number 11
loop_
_space_group_symop_operation_xyz
'x,y,z'
'-x,-y,-z'
'-x,y+1/2,-z'
'x,-y+1/2,z'
loop_
_atom_site_label
_atom_site_fract_x
_atom_site_fract_y
_atom_site_fract_z
Ac1 0.235 0.250 0.302
La1 0.046 0.250 0.901
Nd1 0.364 0.750 0.902
Nd2 0.430 0.250 0.700
Y1 0.162 0.750 0.502

# Pm2HoAl4Au3, optimized geometry, DFT PBE
# **ΔH_f (0 K)**: -621.0 meV/atom
# **Fermi-level density of states**: 0.621 states/eV per atom
data_Pm2HoAl4Au3
_cell_length_a 4.326
_cell_length_b 4.326
_cell_length_c 11.775
_cell_angle_alpha 90.00
_cell_angle_beta 90.00
_cell_angle_gamma 90.00
_space_group_name_H-M_alt 'P -4 m 2'
_space_group_IT_number 115
loop_
_space_group_symop_operation_xyz
'x,y,z'
'y,-x,-z'
'-x,-y,z'
'-y,x,-z'
'-x,y,z'
'-y,-x,-z'
'x,-y,z'
'y,x,-z'
loop_
_atom_site_label
_atom_site_fract_x
_atom_site_fract_y
_atom_site_fract_z
Pm1 0.000 0.500 0.231
Ho1 0.000 0.000 0.500
Al1 0.000 0.000 0.000
Al2 0.000 0.500 0.667
Al3 0.500 0.500 0.000
Au1 0.000 0.500 0.878
Au2 0.500 0.500 0.500

# SrDy2PtO5, optimized geometry, DFT PBE
# **Energy relative to the elements, uncorrected**: -2.67 eV/atom
# **Fermi-level density of states**: 0.000 states/eV per atom
data_SrDy2PtO5
_cell_length_a 6.525
_cell_length_b 6.525
_cell_length_c 5.885
_cell_angle_alpha 90.00
_cell_angle_beta 90.00
_cell_angle_gamma 90.00
_space_group_name_H-M_alt 'P 4/m b m'
_space_group_IT_number 127
_space_group_name_Hall '-P 4 2ab'
loop_
_atom_site_label
_atom_site_fract_x
_atom_site_fract_y
_atom_site_fract_z
Sr1 0.000 0.000 0.000
Dy1 0.174 0.326 0.500
Pt1 0.000 0.500 0.000
O1 0.000 0.000 0.500
O2 0.143 0.643 0.259

# Mg3Cd6Ga, optimized geometry, DFT PBE
# **ΔH_f (0 K)**: -36.0 meV/atom
# **Fermi-level density of states**: 0.304 states/eV per atom
data_Mg3Cd6Ga
_cell_length_a 3.175
_cell_length_b 5.902
_cell_length_c 24.161
_cell_angle_alpha 90.25
_cell_angle_beta 90.46
_cell_angle_gamma 105.18
_space_group_name_H-M_alt 'P -1'
_space_group_IT_number 2
loop_
_space_group_symop_operation_xyz
'x,y,z'
'-x,-y,-z'
loop_
_atom_site_label
_atom_site_fract_x
_atom_site_fract_y
_atom_site_fract_z
Mg1 0.000 0.000 0.000
Mg2 0.000 0.500 0.500
Mg3 0.330 0.427 0.793
Mg4 0.345 0.922 0.293
Cd1 0.070 0.899 0.805
Cd2 0.081 0.395 0.305
Cd3 0.280 0.281 0.604
Cd4 0.286 0.776 0.104
Cd5 0.484 0.699 0.905
Cd6 0.492 0.195 0.405
Ga1 0.000 0.000 0.500
Ga2 0.000 0.500 0.000

# Nd6Sm2Er5, optimized geometry, DFT PBE
# **ΔH_f (0 K)**: 102.1 meV/atom
# **Fermi-level density of states**: 1.188 states/eV per atom
data_Nd6Sm2Er5
_cell_length_a 11.787
_cell_length_b 20.509
_cell_length_c 3.637
_cell_angle_alpha 90.00
_cell_angle_beta 90.00
_cell_angle_gamma 90.00
_space_group_name_H-M_alt 'P b a m'
_space_group_IT_number 55
loop_
_space_group_symop_operation_xyz
'x,y,z'
'-x,-y,-z'
'-x,-y,z'
'x,y,-z'
'x+1/2,-y+1/2,-z'
'-x+1/2,y+1/2,z'
'-x+1/2,y+1/2,-z'
'x+1/2,-y+1/2,z'
loop_
_atom_site_label
_atom_site_fract_x
_atom_site_fract_y
_atom_site_fract_z
Nd1 0.059 0.078 0.000
Nd2 0.081 0.366 0.000
Nd3 0.176 0.629 0.500
Sm1 0.166 0.786 0.000
Er1 0.000 0.500 0.500
Er2 0.094 0.224 0.500
Er3 0.200 0.944 0.500

# Sm2Ga2Ge3, optimized geometry, DFT PBE
# **ΔH_f (0 K)**: -447.9 meV/atom
# **Fermi-level density of states**: 0.350 states/eV per atom
data_Sm2Ga2Ge3
_cell_length_a 15.433
_cell_length_b 4.087
_cell_length_c 5.293
_cell_angle_alpha 90.00
_cell_angle_beta 100.03
_cell_angle_gamma 90.00
_space_group_name_H-M_alt 'C 1 2/m 1'
_space_group_IT_number 12
loop_
_space_group_symop_operation_xyz
'x,y,z'
'-x,-y,-z'
'-x,y,-z'
'x,-y,z'
'x+1/2,y+1/2,z'
'-x+1/2,-y+1/2,-z'
'-x+1/2,y+1/2,-z'
'x+1/2,-y+1/2,z'
loop_
_atom_site_label
_atom_site_fract_x
_atom_site_fract_y
_atom_site_fract_z
Sm1 0.138 0.000 0.076
Ga1 0.092 0.500 0.555
Ge1 0.000 0.500 0.000
Ge2 0.227 0.000 0.632

# Na2LiIn12Pd3, optimized geometry, DFT PBE
# **ΔH_f (0 K)**: -85.4 meV/atom
# **Fermi-level density of states**: 0.465 states/eV per atom
data_Na2LiIn12Pd3
_cell_length_a 10.3305
_cell_length_b 10.3305
_cell_length_c 14.2217
_cell_angle_alpha 90.00
_cell_angle_beta 90.00
_cell_angle_gamma 120.00
_space_group_name_H-M_alt 'R -3 m'
_space_group_IT_number 166
_space_group_name_Hall '-R 3 2"'
loop_
_atom_site_label
_atom_site_fract_x
_atom_site_fract_y
_atom_site_fract_z
Na1 0.0000 0.0000 0.0990
Li1 0.0000 0.0000 0.5000
In1 0.0038 0.5019 0.1977
In2 0.0819 0.5410 0.3994
Pd1 0.0000 0.5000 0.0000

# Na2DyCu2Se4, optimized geometry, DFT PBE
# **Energy relative to the elements, uncorrected**: -0.99 eV/atom
# **Fermi-level density of states**: 0.525 states/eV per atom
data_Na2DyCu2Se4
_cell_length_a 14.698
_cell_length_b 3.934
_cell_length_c 7.618
_cell_angle_alpha 90.00
_cell_angle_beta 112.18
_cell_angle_gamma 90.00
_space_group_name_H-M_alt 'C 1 2/m 1'
_space_group_IT_number 12
loop_
_space_group_symop_operation_xyz
'x,y,z'
'-x,-y,-z'
'-x,y,-z'
'x,-y,z'
'x+1/2,y+1/2,z'
'-x+1/2,-y+1/2,-z'
'-x+1/2,y+1/2,-z'
'x+1/2,-y+1/2,z'
loop_
_atom_site_label
_atom_site_fract_x
_atom_site_fract_y
_atom_site_fract_z
Na1 0.127 0.000 0.062
Dy1 0.000 0.000 0.500
Cu1 0.184 0.500 0.493
Se1 0.017 0.500 0.246
Se2 0.212 0.000 0.704

# Be2Al2V, optimized geometry, DFT PBE
# **ΔH_f (0 K)**: 183.7 meV/atom
# **Energy relative to the lowest polymorph listed for this composition**: 147 meV per atom
# **Fermi-level density of states**: 0.392 states/eV per atom
data_Be2Al2V
_cell_length_a 6.781
_cell_length_b 6.781
_cell_length_c 2.699
_cell_angle_alpha 90.00
_cell_angle_beta 90.00
_cell_angle_gamma 90.00
_space_group_name_H-M_alt 'P 4/m b m'
_space_group_IT_number 127
_space_group_name_Hall '-P 4 2ab'
loop_
_atom_site_label
_atom_site_fract_x
_atom_site_fract_y
_atom_site_fract_z
Be1 0.161 0.339 0.000
Al1 0.139 0.639 0.500
V1 0.000 0.000 0.500

# Al2RuNF, optimized geometry, DFT PBE
# **Energy relative to the elements, uncorrected**: 0.72 eV/atom
# **Fermi-level density of states**: 0.444 states/eV per atom
data_Al2RuNF
_cell_length_a 4.750
_cell_length_b 4.750
_cell_length_c 3.996
_cell_angle_alpha 90.00
_cell_angle_beta 90.00
_cell_angle_gamma 90.00
_space_group_name_H-M_alt 'P 4/m m m'
_space_group_IT_number 123
_space_group_name_Hall '-P 4 2'
loop_
_atom_site_label
_atom_site_fract_x
_atom_site_fract_y
_atom_site_fract_z
Al1 0.000 0.500 0.000
Ru1 0.000 0.000 0.000
N1 0.500 0.500 0.500
F1 0.000 0.000 0.500

# AcPmSe3, optimized geometry, DFT PBE
# **Energy relative to the elements, uncorrected**: -1.98 eV/atom
# **Energy relative to the lowest polymorph listed for this composition**: 0 meV per atom
data_AcPmSe3
_cell_length_a 8.003
_cell_length_b 4.368
_cell_length_c 16.600
_cell_angle_alpha 90.00
_cell_angle_beta 90.00
_cell_angle_gamma 90.00
_space_group_name_H-M_alt 'P n m a'
_space_group_IT_number 62
loop_
_space_group_symop_operation_xyz
'x,y,z'
'-x,-y,-z'
'-x+1/2,-y,z+1/2'
'x+1/2,y,-z+1/2'
'x+1/2,-y+1/2,-z+1/2'
'-x+1/2,y+1/2,z+1/2'
'-x,y+1/2,-z'
'x,-y+1/2,z'
loop_
_atom_site_label
_atom_site_fract_x
_atom_site_fract_y
_atom_site_fract_z
Ac1 0.141 0.250 0.200
Pm1 0.229 0.750 0.457
Se1 0.011 0.250 0.395
Se2 0.125 0.750 0.059
Se3 0.151 0.250 0.785

# NaCdTe2Au, optimized geometry, DFT PBE
# **Energy relative to the elements, uncorrected**: -0.48 eV/atom
data_NaCdTe2Au
_cell_length_a 5.571
_cell_length_b 7.339
_cell_length_c 7.849
_cell_angle_alpha 90.00
_cell_angle_beta 90.05
_cell_angle_gamma 90.00
_space_group_name_H-M_alt 'P 1 2/c 1'
_space_group_IT_number 13
loop_
_space_group_symop_operation_xyz
'x,y,z'
'-x,-y,-z'
'-x,y,-z+1/2'
'x,-y,z+1/2'
loop_
_atom_site_label
_atom_site_fract_x
_atom_site_fract_y
_atom_site_fract_z
Na1 0.000 0.000 0.250
Cd1 0.500 0.500 0.250
Te1 0.229 0.294 0.000
Au1 0.500 0.000 0.000

# BaSrCa2Ge, optimized geometry, DFT PBE
# **ΔH_f (0 K)**: -183.3 meV/atom
# **Energy relative to the lowest polymorph listed for this composition**: 31 meV per atom
# **Fermi-level density of states**: 1.068 states/eV per atom
data_BaSrCa2Ge
_cell_length_a 5.916
_cell_length_b 5.916
_cell_length_c 6.535
_cell_angle_alpha 90.00
_cell_angle_beta 90.00
_cell_angle_gamma 90.00
_space_group_name_H-M_alt 'P 4/m m m'
_space_group_IT_number 123
_space_group_name_Hall '-P 4 2'
loop_
_atom_site_label
_atom_site_fract_x
_atom_site_fract_y
_atom_site_fract_z
Ba1 0.000 0.000 0.000
Sr1 0.500 0.500 0.000
Ca1 0.000 0.500 0.500
Ge1 0.000 0.000 0.500